Entry 1:
# AcYSn2

Crystalline AcYSn2 at its relaxed geometry (PBE-GGA, Alexandria via LeMat-Bulk).

Values from the calculation:
- Formation energy: -0.6122 eV/atom
- Volume: 121 Å³/f.u.
- DOS(E_F): 3.20 states/eV/cell
- Magnetic moment: 0.0 μB per formula unit

CIF file:
```
data_AcYSn2
_chemical_formula_sum 'Ac1 Y1 Sn2'
_symmetry_space_group_name_H-M 'P 4/m m m'
_symmetry_Int_Tables_number 123
_symmetry_space_group_name_Hall '-P 4 2'
_cell_length_a 3.685
_cell_length_b 3.685
_cell_length_c 8.900
_cell_angle_alpha 90.00
_cell_angle_beta 90.00
_cell_angle_gamma 90.00
loop_
_atom_site_label
_atom_site_fract_x
_atom_site_fract_y
_atom_site_fract_z
_atom_site_occupancy
Ac1 0.000 0.000 0.000 1
Y1 0.000 0.000 0.500 1
Sn1 0.500 0.500 0.268 1
```


Entry 2:
# AcYSn

Crystalline AcYSn at its relaxed geometry (PBE-GGA, Alexandria via LeMat-Bulk).

Values from the calculation:
- Formation energy: -0.5911 eV/atom
- Volume: 103 Å³/f.u.
- DOS(E_F): 6.21 states/eV/cell
- Magnetic moment: 1.3 μB per formula unit
- Polymorph energy (0 for the lowest one): 0 meV per atom

CIF file:
```
data_AcYSn
_chemical_formula_sum 'Ac2 Y2 Sn2'
_symmetry_space_group_name_H-M 'P 4/n m m'
_symmetry_Int_Tables_number 129
_cell_length_a 4.832
_cell_length_b 4.832
_cell_length_c 8.849
_cell_angle_alpha 90.00
_cell_angle_beta 90.00
_cell_angle_gamma 90.00
loop_
_symmetry_equiv_pos_as_xyz
'x,y,z'
'-x,-y,-z'
'-y+1/2,x,z'
'y+1/2,-x,-z'
'-x+1/2,-y+1/2,z'
'x+1/2,y+1/2,-z'
'y,-x+1/2,z'
'-y,x+1/2,-z'
'x+1/2,-y,-z'
'-x+1/2,y,z'
'-y,-x,-z'
'y,x,z'
'-x,y+1/2,-z'
'x,-y+1/2,z'
'y+1/2,x+1/2,-z'
'-y+1/2,-x+1/2,z'
loop_
_atom_site_label
_atom_site_fract_x
_atom_site_fract_y
_atom_site_fract_z
_atom_site_occupancy
Ac1 0.250 0.250 0.146 1
Y1 0.250 0.750 0.500 1
Sn1 0.250 0.250 0.745 1
```


Entry 3:
# Ac5Y2Sn5

Crystalline Ac5Y2Sn5 at its relaxed geometry (PBE-GGA, Alexandria via LeMat-Bulk).

Values from the calculation:
- Formation energy: -0.5512 eV/atom
- Volume: 463 Å³/f.u.
- DOS(E_F): 13.74 states/eV/cell
- Magnetic moment: 0.3 μB per formula unit

CIF file:
```
data_Ac5Y2Sn5
_chemical_formula_sum 'Ac10 Y4 Sn10'
_symmetry_space_group_name_H-M 'C 1 2/m 1'
_symmetry_Int_Tables_number 12
_cell_length_a 15.607
_cell_length_b 4.707
_cell_length_c 13.378
_cell_angle_alpha 90.00
_cell_angle_beta 109.54
_cell_angle_gamma 90.00
loop_
_symmetry_equiv_pos_as_xyz
'x,y,z'
'-x,-y,-z'
'-x,y,-z'
'x,-y,z'
'x+1/2,y+1/2,z'
'-x+1/2,-y+1/2,-z'
'-x+1/2,y+1/2,-z'
'x+1/2,-y+1/2,z'
loop_
_atom_site_label
_atom_site_fract_x
_atom_site_fract_y
_atom_site_fract_z
_atom_site_occupancy
Ac1 0.000 0.000 0.000 1
Ac2 0.161 0.000 0.545 1
Ac3 0.237 0.000 0.850 1
Y1 0.047 0.500 0.292 1
Sn1 0.000 0.500 0.500 1
Sn2 0.111 0.500 0.913 1
Sn3 0.180 0.000 0.292 1
```


Entry 4:
# Ac2YSn5

Crystalline Ac2YSn5 at its relaxed geometry (PBE-GGA, Alexandria via LeMat-Bulk).

Values from the calculation:
- Formation energy: -0.5669 eV/atom
- Volume: 242 Å³/f.u.
- DOS(E_F): 7.23 states/eV/cell
- Magnetic moment: 0.0 μB per formula unit

CIF file:
```
data_Ac2YSn5
_chemical_formula_sum 'Ac4 Y2 Sn10'
_symmetry_space_group_name_H-M 'I 4 m m'
_symmetry_Int_Tables_number 107
_symmetry_space_group_name_Hall 'I 4 -2'
_cell_length_a 7.471
_cell_length_b 7.471
_cell_length_c 8.660
_cell_angle_alpha 90.00
_cell_angle_beta 90.00
_cell_angle_gamma 90.00
loop_
_atom_site_label
_atom_site_fract_x
_atom_site_fract_y
_atom_site_fract_z
_atom_site_occupancy
Ac1 0.000 0.500 0.000 1
Y1 0.000 0.000 0.107 1
Sn1 0.000 0.000 0.495 1
Sn2 0.213 0.213 0.757 1
```


Entry 5:
# AcY2Sn

Crystalline AcY2Sn at its relaxed geometry (PBE-GGA, Alexandria via LeMat-Bulk).

Values from the calculation:
- Formation energy: -0.1907 eV/atom
- Volume: 143 Å³/f.u.
- DOS(E_F): 16.08 states/eV/cell
- Magnetic moment: 0.0 μB per formula unit
- Polymorph energy (0 for the lowest one): 148 meV per atom

CIF file:
```
data_AcY2Sn
_chemical_formula_sum 'Ac3 Y6 Sn3'
_symmetry_space_group_name_H-M 'R 3 m'
_symmetry_Int_Tables_number 160
_symmetry_space_group_name_Hall 'R 3 -2"'
_cell_length_a 5.1912
_cell_length_b 5.1912
_cell_length_c 18.3400
_cell_angle_alpha 90.00
_cell_angle_beta 90.00
_cell_angle_gamma 120.00
loop_
_atom_site_label
_atom_site_fract_x
_atom_site_fract_y
_atom_site_fract_z
_atom_site_occupancy
Ac1 0.0000 0.0000 0.0000 1
Y1 0.0000 0.0000 0.5551 1
Y2 0.0000 0.0000 0.7857 1
Sn1 0.0000 0.0000 0.1927 1
```


Entry 6:
# Ac2YSn3

Crystalline Ac2YSn3 at its relaxed geometry (PBE-GGA, Alexandria via LeMat-Bulk).

Values from the calculation:
- Formation energy: -0.5154 eV/atom
- Volume: 211 Å³/f.u.
- DOS(E_F): 19.70 states/eV/cell
- Magnetic moment: 0.0 μB per formula unit

CIF file:
```
data_Ac2YSn3
_chemical_formula_sum 'Ac8 Y4 Sn12'
_symmetry_space_group_name_H-M 'C 1 2/c 1'
_symmetry_Int_Tables_number 15
_cell_length_a 16.779
_cell_length_b 6.672
_cell_length_c 7.741
_cell_angle_alpha 90.00
_cell_angle_beta 103.33
_cell_angle_gamma 90.00
loop_
_symmetry_equiv_pos_as_xyz
'x,y,z'
'-x,-y,-z'
'-x,y,-z+1/2'
'x,-y,z+1/2'
'x+1/2,y+1/2,z'
'-x+1/2,-y+1/2,-z'
'-x+1/2,y+1/2,-z+1/2'
'x+1/2,-y+1/2,z+1/2'
loop_
_atom_site_label
_atom_site_fract_x
_atom_site_fract_y
_atom_site_fract_z
_atom_site_occupancy
Ac1 0.169 0.002 0.084 1
Y1 0.000 0.496 0.750 1
Sn1 0.000 0.005 0.250 1
Sn2 0.156 0.498 0.578 1
```


Entry 7:
# AcYSn6

Crystalline AcYSn6 at its relaxed geometry (PBE-GGA, Alexandria via LeMat-Bulk).

Values from the calculation:
- Formation energy: -0.4688 eV/atom
- Volume: 224 Å³/f.u.
- DOS(E_F): 3.74 states/eV/cell
- Magnetic moment: 0.0 μB per formula unit

CIF file:
```
data_AcYSn6
_chemical_formula_sum 'Ac1 Y1 Sn6'
_symmetry_space_group_name_H-M 'P 4/m m m'
_symmetry_Int_Tables_number 123
_symmetry_space_group_name_Hall '-P 4 2'
_cell_length_a 4.903
_cell_length_b 4.903
_cell_length_c 9.324
_cell_angle_alpha 90.00
_cell_angle_beta 90.00
_cell_angle_gamma 90.00
loop_
_atom_site_label
_atom_site_fract_x
_atom_site_fract_y
_atom_site_fract_z
_atom_site_occupancy
Ac1 0.000 0.000 0.000 1
Y1 0.000 0.000 0.500 1
Sn1 0.000 0.500 0.262 1
Sn2 0.500 0.500 0.000 1
Sn3 0.500 0.500 0.500 1
```


Entry 8:
# AcYSn2

Crystalline AcYSn2 at its relaxed geometry (PBE-GGA, Alexandria via LeMat-Bulk).

Values from the calculation:
- Formation energy: -0.4977 eV/atom
- Volume: 137 Å³/f.u.
- DOS(E_F): 15.09 states/eV/cell
- Magnetic moment: 0.0 μB per formula unit

CIF file:
```
data_AcYSn2
_chemical_formula_sum 'Ac3 Y3 Sn6'
_symmetry_space_group_name_H-M 'R -3 m'
_symmetry_Int_Tables_number 166
_symmetry_space_group_name_Hall '-R 3 2"'
_cell_length_a 4.2964
_cell_length_b 4.2964
_cell_length_c 25.6202
_cell_angle_alpha 90.00
_cell_angle_beta 90.00
_cell_angle_gamma 120.00
loop_
_atom_site_label
_atom_site_fract_x
_atom_site_fract_y
_atom_site_fract_z
_atom_site_occupancy
Ac1 0.0000 0.0000 0.0000 1
Y1 0.0000 0.0000 0.5000 1
Sn1 0.0000 0.0000 0.2429 1
```


Entry 9:
# AcYZnSn

Crystalline AcYZnSn at its relaxed geometry (PBE-GGA, Alexandria via LeMat-Bulk).

Values from the calculation:
- Formation energy: -0.4449 eV/atom
- Volume: 115 Å³/f.u.
- DOS(E_F): 10.57 states/eV/cell
- Magnetic moment: 0.0 μB per formula unit

CIF file:
```
data_AcYZnSn
_chemical_formula_sum 'Ac4 Y4 Zn4 Sn4'
_symmetry_space_group_name_H-M 'F -4 3 m'
_symmetry_Int_Tables_number 216
_symmetry_space_group_name_Hall 'F -4 2 3'
_cell_length_a 7.710
_cell_length_b 7.710
_cell_length_c 7.710
_cell_angle_alpha 90.00
_cell_angle_beta 90.00
_cell_angle_gamma 90.00
loop_
_atom_site_label
_atom_site_fract_x
_atom_site_fract_y
_atom_site_fract_z
_atom_site_occupancy
Ac1 0.000 0.000 0.000 1
Y1 0.000 0.000 0.500 1
Zn1 0.250 0.250 0.750 1
Sn1 0.250 0.250 0.250 1
```


Entry 10:
# AcYZn2Sn2

Crystalline AcYZn2Sn2 at its relaxed geometry (PBE-GGA, Alexandria via LeMat-Bulk).

Values from the calculation:
- Formation energy: -0.5499 eV/atom
- Volume: 157 Å³/f.u.
- DOS(E_F): 4.08 states/eV/cell
- Magnetic moment: 0.0 μB per formula unit

CIF file:
```
data_AcYZn2Sn2
_chemical_formula_sum 'Ac1 Y1 Zn2 Sn2'
_symmetry_space_group_name_H-M 'P -3 m 1'
_symmetry_Int_Tables_number 164
_symmetry_space_group_name_Hall '-P 3 2"'
_cell_length_a 4.5315
_cell_length_b 4.5315
_cell_length_c 8.8015
_cell_angle_alpha 90.00
_cell_angle_beta 90.00
_cell_angle_gamma 120.00
loop_
_atom_site_label
_atom_site_fract_x
_atom_site_fract_y
_atom_site_fract_z
_atom_site_occupancy
Ac1 0.0000 0.0000 0.0000 1
Y1 0.0000 0.0000 0.5000 1
Zn1 0.3333 0.6667 0.7407 1
Sn1 0.3333 0.6667 0.2758 1
```


Entry 11:
# AcZnSn4

Crystalline AcZnSn4 at its relaxed geometry (PBE-GGA, Alexandria via LeMat-Bulk).

Values from the calculation:
- Formation energy: -0.2002 eV/atom
- Volume: 173 Å³/f.u.
- DOS(E_F): 10.69 states/eV/cell
- Magnetic moment: 0.0 μB per formula unit

CIF file:
```
data_AcZnSn4
_chemical_formula_sum 'Ac4 Zn4 Sn16'
_symmetry_space_group_name_H-M 'F -4 3 m'
_symmetry_Int_Tables_number 216
_symmetry_space_group_name_Hall 'F -4 2 3'
_cell_length_a 8.848
_cell_length_b 8.848
_cell_length_c 8.848
_cell_angle_alpha 90.00
_cell_angle_beta 90.00
_cell_angle_gamma 90.00
loop_
_atom_site_label
_atom_site_fract_x
_atom_site_fract_y
_atom_site_fract_z
_atom_site_occupancy
Ac1 0.000 0.000 0.000 1
Zn1 0.250 0.250 0.750 1
Sn1 0.125 0.125 0.375 1
```


Entry 12:
# Ac2Zn3Sn4

Crystalline Ac2Zn3Sn4 at its relaxed geometry (PBE-GGA, Alexandria via LeMat-Bulk).

Values from the calculation:
- Formation energy: -0.4017 eV/atom
- Volume: 233 Å³/f.u.
- DOS(E_F): 17.77 states/eV/cell
- Magnetic moment: 0.0 μB per formula unit

CIF file:
```
data_Ac2Zn3Sn4
_chemical_formula_sum 'Ac8 Zn12 Sn16'
_symmetry_space_group_name_H-M 'C m c e'
_symmetry_Int_Tables_number 64
_symmetry_space_group_name_Hall '-C 2ac 2'
_cell_length_a 6.501
_cell_length_b 16.676
_cell_length_c 8.594
_cell_angle_alpha 90.00
_cell_angle_beta 90.00
_cell_angle_gamma 90.00
loop_
_atom_site_label
_atom_site_fract_x
_atom_site_fract_y
_atom_site_fract_z
_atom_site_occupancy
Ac1 0.000 0.116 0.086 1
Zn1 0.000 0.000 0.500 1
Zn2 0.250 0.219 0.750 1
Sn1 0.000 0.187 0.461 1
Sn2 0.250 0.053 0.750 1
```


Entry 13:
# Ac6ZnSn2

Crystalline Ac6ZnSn2 at its relaxed geometry (PBE-GGA, Alexandria via LeMat-Bulk).

Values from the calculation:
- Formation energy: -0.2423 eV/atom
- Volume: 364 Å³/f.u.
- DOS(E_F): 24.44 states/eV/cell
- Magnetic moment: 0.0 μB per formula unit

CIF file:
```
data_Ac6ZnSn2
_chemical_formula_sum 'Ac12 Zn2 Sn4'
_symmetry_space_group_name_H-M 'I m m m'
_symmetry_Int_Tables_number 71
_symmetry_space_group_name_Hall '-I 2 2'
_cell_length_a 5.570
_cell_length_b 7.911
_cell_length_c 16.509
_cell_angle_alpha 90.00
_cell_angle_beta 90.00
_cell_angle_gamma 90.00
loop_
_atom_site_label
_atom_site_fract_x
_atom_site_fract_y
_atom_site_fract_z
_atom_site_occupancy
Ac1 0.000 0.232 0.000 1
Ac2 0.000 0.255 0.338 1
Zn1 0.000 0.500 0.500 1
Sn1 0.000 0.500 0.165 1
```